Entry from Alexandria via LeMat-Bulk: a relaxed TiNbTc2H crystal (PBE).

## Properties
* DOS(E_F): 0.37 states/eV per atom
* electronic total energy: -8.6386 eV per atom
* space-group type: P4/mmm, No. 123

a b c (Å): 4.3894 4.3894 3.3853
angles (deg): 90.00 90.00 90.00
Fractional positions:
1 Nb 0.5000 0.5000 0.5000
2 Ti 0.0000 0.0000 0.5000
3 H 0.0000 0.0000 0.0000
4 Tc 0.5000 0.0000 0.0000
5 Tc 0.0000 0.5000 0.0000

=====

Entry from Alexandria via LeMat-Bulk: a relaxed Sc3SbC crystal (PBE).

## Properties
* DOS(E_F): 0.59 states/eV per atom
* formation energy (no corrections): -667 meV/atom
* electronic total energy: -7.1356 eV per atom
* space-group type: P2/m, No. 10

a b c (Å): 6.3218 6.8947 4.4842
angles (deg): 90.00 90.00 96.88
Fractional positions:
1 Sc 0.7870 0.4183 0.2624
2 Sc 0.7869 0.9183 0.2624
3 Sc 0.0255 0.1967 0.7624
4 Sc 0.2640 0.4752 0.2624
5 Sc 0.2640 0.9751 0.2624
6 Sc 0.0255 0.6967 0.7624
7 C 0.0255 0.6967 0.2624
8 C 0.0255 0.1967 0.2624
9 Sb 0.5255 0.1968 0.7624
10 Sb 0.5255 0.6968 0.7624

=====

Entry from Alexandria via LeMat-Bulk: a relaxed PmPrZn crystal (PBE).

## Properties
* excess energy over the best structure of this formula in the dataset: 0 meV per atom
* DOS(E_F): 1.17 states/eV per atom
* formation enthalpy at 0 K: -0.195 eV/atom
* electronic total energy: -3.7966 eV per atom
* space-group type: I4mm, No. 107

a b c (Å): 3.7122 3.7122 6.7720
angles (deg): 105.91 105.91 90.00
Fractional positions:
1 Pm 0.3095 0.3095 0.6190
2 Zn 0.6699 0.6699 0.3398
3 Pr 0.0206 0.0206 0.0413

=====

Entry from Alexandria via LeMat-Bulk: a relaxed La2DyYTe6 crystal (PBE).

## Properties
* formation energy (no corrections): -1445 meV/atom
* electronic total energy: -5.4219 eV per atom
* space-group type: R3, No. 146

a b c (Å): 7.9498 7.9499 8.4080
angles (deg): 61.79 61.79 60.00
Fractional positions:
1 Te 0.4400 0.7049 0.7587
2 Te 0.9404 0.5960 0.2582
3 Te 0.2054 0.9403 0.2583
4 Te 0.0963 0.4401 0.7587
5 Te 0.7050 0.0963 0.7587
6 Te 0.5960 0.2055 0.2582
7 La 0.0172 0.0172 0.9484
8 La 0.5172 0.5171 0.4487
9 Y 0.8220 0.8222 0.5335
10 Dy 0.3222 0.3220 0.0337